CuTc2HRu, optimized geometry, DFT GGA-PBEsol; total DFT energy (no corrections) = -7.82 eV/atom; spin magnetization = 0.0001 μB per atom; N(E_F) = 5.07 states/eV per cell
1.0
3.808 0.000 0.000
0.000 3.808 0.000
0.000 0.000 3.820
Cu Tc H Ru
1 2 1 1
Cartesian
0.000 0.000 0.000
0.000 1.904 1.910
1.904 0.000 1.910
1.904 1.904 1.910
1.904 1.904 0.000